18
Lattice="5.100 0.000 0.000 -2.550 4.416 0.000 0.000 0.000 8.737" Properties=species:S:1:pos:R:3 comment="TaVRhO6, optimized geometry, DFT PBE with a Hubbard U" magmom_total_mub_per_atom=0.111 spacegroup=P-31c dft_energy_ev_per_cell=-145.847 crystal_system=trigonal pbc="T T T"
V 0.000 2.944 2.184
V 2.550 1.472 6.553
O 3.367 0.012 7.613
O 3.405 2.910 7.613
O 4.223 1.494 5.493
O -0.817 4.404 1.124
O 1.733 0.012 5.493
O 0.877 1.494 7.613
O 1.673 2.922 1.124
O 1.694 2.910 5.493
O -0.856 1.507 1.124
O 0.856 1.507 3.245
O -1.673 2.922 3.245
O 0.817 4.404 3.245
Ta 0.000 2.944 6.553
Ta 2.550 1.472 2.184
Rh 0.000 0.000 0.000
Rh 0.000 0.000 4.369